VASP calculation (SCAN) on a PBEsol-optimized structure of LiAg2Bi2.

Cell lengths 3.4881, 8.2665, 8.2665 Å; angles 90.00, 90.00, 90.00 degrees
Closest atoms and distances in Å follow each position.
Fractional coordinates of all 10 atoms:
Bi (0.0000, 0.3267, 0.8267)  6 Ag 2.95-3.04, 2 Li 3.06
Bi (0.0000, 0.8267, 0.6733)  6 Ag 2.95-3.04, 2 Li 3.06
Bi (0.0000, 0.1733, 0.3267)  6 Ag 2.95-3.04, 2 Li 3.06
Bi (0.0000, 0.6733, 0.1733)  6 Ag 2.95-3.04, 2 Li 3.06
Li (0.0000, 0.5000, 0.5000)  4 Bi 3.06
Li (0.0000, 0.0000, 0.0000)  4 Bi 3.06
Ag (0.5000, 0.8767, 0.3767)  1 Ag 2.88, 6 Bi 2.95-3.04
Ag (0.5000, 0.6233, 0.8767)  1 Ag 2.88, 6 Bi 2.95-3.04
Ag (0.5000, 0.3767, 0.1233)  1 Ag 2.88, 6 Bi 2.95-3.04
Ag (0.5000, 0.1233, 0.6233)  1 Ag 2.88, 6 Bi 2.95-3.04

Results
As for the formation energy from the elements: 34 meV per atom. The value obtained for the spin magnetization is 0.00 μB per cell. Its space group is P4/mbm (127).


VASP calculation (SCAN) on a PBEsol-optimized structure of Y2ReTcF.

Cell lengths 3.8081, 5.2641, 5.2641 Å; angles 90.00, 90.00, 90.00 degrees
Closest atoms and distances in Å follow each position.
Fractional coordinates of all 5 atoms:
F (0.5000, 0.0000, 0.0000)  2 Tc 1.90
Y (0.0000, 0.5000, 0.0000)  2 Tc 2.63
Y (0.0000, 0.0000, 0.5000)  2 Tc 2.63
Re (0.5000, 0.5000, 0.5000)  8 Y 3.25
Tc (0.0000, 0.0000, 0.0000)  2 F 1.90

Results
The value obtained for the spin magnetization is 2.35 μB per cell. Its space group is P4/mmm (123). For the uncorrected formation energy, the calculation gives 0.4916 eV/atom.


VASP calculation (SCAN) on a PBEsol-optimized structure of K2LiO2.

Cell lengths 4.1393, 4.1393, 6.2882 Å; angles 109.22, 109.22, 90.00 degrees
Closest atoms and distances in Å follow each position.
Fractional coordinates of all 5 atoms:
O (0.6143, 0.6143, 0.2286)  1 O 2.54, 4 K 2.56
O (0.3857, 0.3857, 0.7714)  1 O 2.54, 4 K 2.56
Li (0.0000, 0.0000, 0.0000)  8 O 3.19, 8 K 3.47
K (0.2500, 0.7500, 0.5000)  4 O 2.56
K (0.7500, 0.2500, 0.5000)  4 O 2.56

Results
The value obtained for the spin magnetization is 1.00 μB per cell. Its space group is I4/mmm (139). For the uncorrected formation energy, the calculation gives -0.5543 eV/atom.


VASP calculation (SCAN) on a PBEsol-optimized structure of HfHgBiOs2.

Cell lengths 4.8946, 4.8946, 5.1026 Å; angles 90.00, 90.00, 90.00 degrees
Closest atoms and distances in Å follow each position.
Fractional coordinates of all 5 atoms:
Hf (0.5000, 0.5000, 0.5000)  4 Bi 3.46, 8 Os 3.54
Hg (0.0000, 0.0000, 0.0000)  4 Os 2.45, 2 Bi 2.55
Bi (0.0000, 0.0000, 0.5000)  2 Hg 2.55
Os (0.5000, 0.0000, 0.0000)  2 Hg 2.45
Os (0.0000, 0.5000, 0.0000)  2 Hg 2.45

Results
As for the formation energy from the elements: 2425 meV per atom. The value obtained for the spin magnetization is 0.00 μB per cell. Its space group is P4/mmm (123).


VASP calculation (SCAN) on a PBEsol-optimized structure of KAuI2N.

Cell lengths 3.7826, 6.1133, 6.1133 Å; angles 90.00, 90.00, 90.00 degrees
Closest atoms and distances in Å follow each position.
Fractional coordinates of all 5 atoms:
I (0.0000, 0.0000, 0.5000)  2 Au 3.06
I (0.0000, 0.5000, 0.0000)  2 Au 3.06
Au (0.0000, 0.0000, 0.0000)  2 N 1.89
K (0.5000, 0.5000, 0.5000)  8 I 3.59, 2 K 3.78
N (0.5000, 0.0000, 0.0000)  2 Au 1.89

Results
The value obtained for the spin magnetization is 0.00 μB per cell. Its space group is P4/mmm (123). For the uncorrected formation energy, the calculation gives 0.1061 eV/atom.


VASP calculation (SCAN) on a PBEsol-optimized structure of ErNiBi.

Cell lengths 4.4860, 4.4860, 4.4860 Å; angles 60.00, 60.00, 60.00 degrees
Closest atoms and distances in Å follow each position.
Fractional coordinates of all 3 atoms:
Er (0.5000, 0.5000, 0.5000)  4 Ni 2.75
Bi (0.0000, 0.0000, 0.0000)  4 Ni 2.75
Ni (0.2500, 0.2500, 0.2500)  4 Er 2.75, 4 Bi 2.75

Results
As for the formation energy from the elements: -801 meV per atom. The value obtained for the spin magnetization is 0.00 μB per cell. Its space group is F-43m (216).


VASP calculation (SCAN) on a PBEsol-optimized structure of Ba2Na2In.

Cell lengths 4.3515, 4.3515, 11.3614 Å; angles 101.04, 101.04, 90.00 degrees
Closest atoms and distances in Å follow each position.
Fractional coordinates of all 5 atoms:
Ba (0.5882, 0.5882, 0.1764)  4 In 3.63, 1 Ba 3.86
Ba (0.4118, 0.4118, 0.8236)  4 In 3.63, 1 Ba 3.86
Na (0.7500, 0.2500, 0.5000)  4 Na 3.08
Na (0.2500, 0.7500, 0.5000)  4 Na 3.08
In (0.0000, 0.0000, 0.0000)  8 Ba 3.63

Results
As for the formation energy from the elements: -173 meV per atom. The value obtained for the spin magnetization is 0.01 μB per cell. Its space group is I4/mmm (139).


VASP calculation (SCAN) on a PBEsol-optimized structure of TaGeCl2.

Cell lengths 4.5037, 4.5037, 4.5037 Å; angles 60.00, 60.00, 60.00 degrees
Closest atoms and distances in Å follow each position.
Fractional coordinates of all 4 atoms:
Ta (0.5000, 0.5000, 0.5000)  8 Cl 2.76
Cl (0.7500, 0.7500, 0.7500)  4 Ge 2.76, 4 Ta 2.76
Cl (0.2500, 0.2500, 0.2500)  4 Ge 2.76, 4 Ta 2.76
Ge (0.0000, 0.0000, 0.0000)  8 Cl 2.76

Results
The value obtained for the spin magnetization is 0.00 μB per cell. Its space group is Fm-3m (225). For the uncorrected formation energy, the calculation gives 0.5169 eV/atom.


VASP calculation (SCAN) on a PBEsol-optimized structure of LiTc2Ru.

Cell lengths 2.9999, 4.1143, 4.9315 Å; angles 114.65, 107.71, 90.00 degrees
Closest atoms and distances in Å follow each position.
Fractional coordinates of all 4 atoms:
Li (0.5000, 0.0000, 0.0000)  4 Ru 2.55, 4 Tc 2.60
Ru (0.0000, 0.5000, 0.0000)  4 Li 2.55, 4 Tc 2.58
Tc (0.2517, 0.2517, 0.5033)  4 Tc 2.55, 2 Ru 2.58, 2 Li 2.60
Tc (0.7483, 0.7483, 0.4967)  4 Tc 2.55, 2 Ru 2.58, 2 Li 2.60

Results
As for the formation energy from the elements: 116 meV per atom. The value obtained for the spin magnetization is 0.00 μB per cell. Its space group is Immm (71). For the energy above the most stable polymorph in this dataset, the calculation gives 18 meV per atom.


VASP calculation (SCAN) on a PBEsol-optimized structure of CsBTeI2.

Cell lengths 4.6051, 5.8994, 5.8994 Å; angles 90.00, 90.00, 90.00 degrees
Closest atoms and distances in Å follow each position.
Fractional coordinates of all 5 atoms:
I (0.0000, 0.0000, 0.5000)  2 B 2.95
I (0.0000, 0.5000, 0.0000)  2 B 2.95
Te (0.5000, 0.0000, 0.0000)  2 B 2.30
B (0.0000, 0.0000, 0.0000)  2 Te 2.30
Cs (0.5000, 0.5000, 0.5000)  8 I 3.74, 4 Te 4.17

Results
The value obtained for the spin magnetization is 0.00 μB per cell. Its space group is P4/mmm (123). For the uncorrected formation energy, the calculation gives 0.0369 eV/atom.


VASP calculation (SCAN) on a PBEsol-optimized structure of BeCdW.

Cell lengths 2.7102, 2.7103, 6.2519 Å; angles 102.57, 102.52, 90.00 degrees
Closest atoms and distances in Å follow each position.
Fractional coordinates of all 3 atoms:
Cd (0.3440, 0.3438, 0.6880)  4 Cd 2.71, 4 Be 2.73, 4 W 3.01
Be (0.0069, 0.0071, 0.0138)  4 W 2.56, 4 Be 2.71, 4 Cd 2.73
W (0.6491, 0.6491, 0.2982)  4 Be 2.56, 4 W 2.71

Results
As for the formation energy from the elements: 453 meV per atom. The value obtained for the spin magnetization is 0.00 μB per cell. Its space group is I4mm (107).


VASP calculation (SCAN) on a PBEsol-optimized structure of Mn4TcMo.

Cell lengths 4.6323, 4.6323, 4.6323 Å; angles 60.00, 60.00, 60.00 degrees
Closest atoms and distances in Å follow each position.
Fractional coordinates of all 6 atoms:
Mn (0.3752, 0.3752, 0.8743)  6 Mn 2.31-2.32
Mn (0.8743, 0.3752, 0.3752)  6 Mn 2.31-2.32
Mn (0.3752, 0.8743, 0.3752)  6 Mn 2.31-2.32
Mn (0.3752, 0.3752, 0.3752)  6 Mn 2.31-2.32
Tc (0.0000, 0.0000, 0.0000)  12 Mn 2.72, 4 Mo 2.84
Mo (0.7500, 0.7500, 0.7500)  12 Mn 2.72, 4 Tc 2.84

Results
As for the formation energy from the elements: 24 meV per atom. The value obtained for the spin magnetization is 0.00 μB per cell. Its space group is F-43m (216).